Entry from the Alexandria database: a geometry-optimized LiCa4Pb2 structure (PBE).

Unit cell a=5.4196 b=5.4196 c=26.3655 alpha=90.00 beta=90.00 gamma=120.00
Space group R-3m (No. 166, hexagonal axes)
Inequivalent atoms, fractional coordinates:
Li: 0.0000 0.0000 0.0000 [3 per cell]
Ca: 0.0000 0.0000 0.1282 [6 per cell]
Ca: 0.0000 0.0000 0.3794 [6 per cell]
Pb: 0.0000 0.0000 0.2538 [6 per cell]

Theoretical density, g/cm3: 4.320
Energy of formation from the pure elements, eV/atom: -0.4530
Energy above the most stable polymorph in this dataset, kJ/mol of atoms: 0.0